Ca2AlAg: PBEsol geometry, meta-GGA SCAN.

## Properties
- Total energy: -14.8431 eV/atom
- Symmetry: No. 25
- E_form: -0.23 eV/atom
- Calculated density: 3.65 g cm⁻³

Cell lengths 3.603, 5.211, 5.213 Å; angles 90.00, 90.00, 90.00 degrees
Atoms (fractional coordinates):
Ca (0.000, 0.000, 0.000)
Ca (0.000, 0.500, 0.499)
Al (0.500, 0.500, 0.998)
Ag (0.500, 0.000, 0.501)